First-principles (PBE with a Hubbard U) data for an optimized crystal structure of Li2CuW2O8, as listed in Alexandria.

Computed properties:
- Total DFT energy (no corrections): -85.8 eV per cell
- M_tot: 1.00 μB/cell

Cell: 5.139 5.461 5.955 Å, 73.67 85.13 67.72°
Space group P-1 (No. 2)
One atom of each set of equivalent atoms:
Li1 0.068 0.407 0.279 [2 per cell]
Cu1 0.500 0.500 0.500 [1 per cell]
W1 0.271 0.977 0.843 [2 per cell]
O1 0.136 0.779 0.139 [2 per cell]
O2 0.246 0.749 0.678 [2 per cell]
O3 0.278 0.273 0.589 [2 per cell]
O4 0.341 0.197 0.074 [2 per cell]